No. 1
# SrCdCo2, optimized geometry, DFT PBE
# ΔE_f = 477.4 meV/atom
# calculated density = 5.4 Mg/m³
# E = -59.6 eV for the cell shown
data_SrCdCo2
_chemical_formula_sum 'Sr4 Cd4 Co8'
_symmetry_space_group_name_H-M 'I 41/a m d'
_symmetry_Int_Tables_number 141
_cell_length_a 4.620
_cell_length_b 4.620
_cell_length_c 18.421
_cell_angle_alpha 90.00
_cell_angle_beta 90.00
_cell_angle_gamma 90.00
loop_
_symmetry_equiv_pos_as_xyz
'x,y,z'
'-x,-y,-z'
'-y+1/4,x+3/4,z+1/4'
'y+1/4,-x+3/4,-z+1/4'
'-x+1/2,-y,z+1/2'
'x+1/2,y,-z+1/2'
'y+1/4,-x+1/4,z+3/4'
'-y+1/4,x+1/4,-z+3/4'
'x,-y,-z'
'-x,y,z'
'-y+1/4,-x+1/4,-z+3/4'
'y+1/4,x+1/4,z+3/4'
'-x+1/2,y,-z+1/2'
'x+1/2,-y,z+1/2'
'y+1/4,x+3/4,-z+1/4'
'-y+1/4,-x+3/4,z+1/4'
'x+1/2,y+1/2,z+1/2'
'-x+1/2,-y+1/2,-z+1/2'
'-y+3/4,x+1/4,z+3/4'
'y+3/4,-x+1/4,-z+3/4'
'-x,-y+1/2,z'
'x,y+1/2,-z'
'y+3/4,-x+3/4,z+1/4'
'-y+3/4,x+3/4,-z+1/4'
'x+1/2,-y+1/2,-z+1/2'
'-x+1/2,y+1/2,z+1/2'
'-y+3/4,-x+3/4,-z+1/4'
'y+3/4,x+3/4,z+1/4'
'-x,y+1/2,-z'
'x,-y+1/2,z'
'y+3/4,x+1/4,-z+3/4'
'-y+3/4,-x+1/4,z+3/4'
loop_
_atom_site_label
_atom_site_type_symbol
_atom_site_fract_x
_atom_site_fract_y
_atom_site_fract_z
_atom_site_occupancy
Sr1 Sr 0.000 0.250 0.375 1
Cd1 Cd 0.000 0.250 0.875 1
Co1 Co 0.000 0.000 0.000 1

No. 2
# TaReSb2, optimized geometry, DFT PBE
# E above lowest polymorph = 0.298 eV per atom
# calculated density = 13.2 Mg/m³
# E = -31.2 eV for the cell shown
# formation energy without anion corrections = 0.3384 eV/atom
data_TaReSb2
_chemical_formula_sum 'Ta1 Re1 Sb2'
_symmetry_space_group_name_H-M 'P m m 2'
_symmetry_Int_Tables_number 25
_cell_length_a 3.235
_cell_length_b 4.930
_cell_length_c 4.819
_cell_angle_alpha 90.00
_cell_angle_beta 90.00
_cell_angle_gamma 90.00
loop_
_symmetry_equiv_pos_as_xyz
'x,y,z'
'-x,-y,z'
'-x,y,z'
'x,-y,z'
loop_
_atom_site_label
_atom_site_type_symbol
_atom_site_fract_x
_atom_site_fract_y
_atom_site_fract_z
_atom_site_occupancy
Ta1 Ta 0.000 0.000 0.000 1
Re1 Re 0.500 0.500 0.794 1
Sb1 Sb 0.000 0.500 0.286 1
Sb2 Sb 0.500 0.000 0.515 1

No. 3
# Pm3Cd3Hg2, optimized geometry, DFT PBE
# E above lowest polymorph = 0.000 eV per atom
# ΔE_f = -347.7 meV/atom
# calculated density = 8.9 Mg/m³
# E = -20.4 eV for the cell shown
data_Pm3Cd3Hg2
_chemical_formula_sum 'Pm3 Cd3 Hg2'
_symmetry_space_group_name_H-M 'P -6 2 m'
_symmetry_Int_Tables_number 189
_symmetry_space_group_name_Hall 'P -6 -2'
_cell_length_a 7.9666
_cell_length_b 7.9666
_cell_length_c 3.9793
_cell_angle_alpha 90.00
_cell_angle_beta 90.00
_cell_angle_gamma 120.00
loop_
_atom_site_label
_atom_site_type_symbol
_atom_site_fract_x
_atom_site_fract_y
_atom_site_fract_z
_atom_site_occupancy
Pm1 Pm 0.0000 0.6040 0.0000 1
Cd1 Cd 0.0000 0.2264 0.5000 1
Hg1 Hg 0.3333 0.6667 0.5000 1

No. 4
# SrSc4Pb, optimized geometry, DFT PBE
# ΔE_f = 168.5 meV/atom
# calculated density = 4.6 Mg/m³
# E = -118.8 eV for the cell shown
data_SrSc4Pb
_chemical_formula_sum 'Sr4 Sc16 Pb4'
_symmetry_space_group_name_H-M 'F -4 3 m'
_symmetry_Int_Tables_number 216
_symmetry_space_group_name_Hall 'F -4 2 3'
_cell_length_a 8.833
_cell_length_b 8.833
_cell_length_c 8.833
_cell_angle_alpha 90.00
_cell_angle_beta 90.00
_cell_angle_gamma 90.00
loop_
_atom_site_label
_atom_site_type_symbol
_atom_site_fract_x
_atom_site_fract_y
_atom_site_fract_z
_atom_site_occupancy
Sr1 Sr 0.000 0.000 0.000 1
Sc1 Sc 0.125 0.125 0.375 1
Pb1 Pb 0.250 0.250 0.750 1